Record 1
Material: Cs2HfCrCl
Method: DFT, PBE
State: optimized geometry

Structure (CIF):
```
data_Cs2HfCrCl
_symmetry_space_group_name_H-M 'P 4/m m m'
_symmetry_Int_Tables_number 123
_symmetry_space_group_name_Hall '-P 4 2'
_cell_length_a 7.2286
_cell_length_b 7.2286
_cell_length_c 4.6767
_cell_angle_alpha 90.00
_cell_angle_beta 90.00
_cell_angle_gamma 90.00
loop_
_atom_site_label
_atom_site_fract_x
_atom_site_fract_y
_atom_site_fract_z
_atom_site_occupancy
Cs1 0.0000 0.5000 0.0000 1
Hf1 0.0000 0.0000 0.0000 1
Cr1 0.0000 0.0000 0.5000 1
Cl1 0.5000 0.5000 0.5000 1
```

## Properties
total DFT energy (no corrections): -19.690 eV/cell

=====

Record 2
Material: Cs2HfCrCl6
Method: DFT, PBE
State: optimized geometry

Structure (CIF):
```
data_Cs2HfCrCl6
_symmetry_space_group_name_H-M 'F m -3 m'
_symmetry_Int_Tables_number 225
_symmetry_space_group_name_Hall '-F 4 2 3'
_cell_length_a 10.4452
_cell_length_b 10.4452
_cell_length_c 10.4452
_cell_angle_alpha 90.00
_cell_angle_beta 90.00
_cell_angle_gamma 90.00
loop_
_atom_site_label
_atom_site_fract_x
_atom_site_fract_y
_atom_site_fract_z
_atom_site_occupancy
Cs1 0.2500 0.2500 0.2500 1
Hf1 0.0000 0.0000 0.0000 1
Cr1 0.0000 0.0000 0.5000 1
Cl1 0.0000 0.0000 0.2428 1
```

## Properties
total DFT energy (no corrections): -188.267 eV/cell

=====

Record 3
Material: CsCrHgCl6
Method: DFT, PBE
State: optimized geometry

Structure (CIF):
```
data_CsCrHgCl6
_symmetry_space_group_name_H-M 'P 3 1 2'
_symmetry_Int_Tables_number 149
_cell_length_a 6.7291
_cell_length_b 6.7291
_cell_length_c 7.6768
_cell_angle_alpha 90.00
_cell_angle_beta 90.00
_cell_angle_gamma 120.00
loop_
_symmetry_equiv_pos_as_xyz
'x,y,z'
'-y,x-y,z'
'-x+y,-x,z'
'-y,-x,-z'
'-x+y,y,-z'
'x,x-y,-z'
loop_
_atom_site_label
_atom_site_fract_x
_atom_site_fract_y
_atom_site_fract_z
_atom_site_occupancy
Cs1 0.0000 0.0000 0.0000 1
Cr1 0.3333 0.6667 0.5000 1
Hg1 0.6667 0.3333 0.5000 1
Cl1 0.0398 0.3915 0.6811 1
```

## Properties
total DFT energy (no corrections): -32.209 eV/cell

=====

Record 4
Material: Cs2CrHgCl6
Method: DFT, PBE
State: optimized geometry

Structure (CIF):
```
data_Cs2CrHgCl6
_symmetry_space_group_name_H-M 'I 4/m m m'
_symmetry_Int_Tables_number 139
_symmetry_space_group_name_Hall '-I 4 2'
_cell_length_a 7.4580
_cell_length_b 7.4580
_cell_length_c 10.6099
_cell_angle_alpha 90.00
_cell_angle_beta 90.00
_cell_angle_gamma 90.00
loop_
_atom_site_label
_atom_site_fract_x
_atom_site_fract_y
_atom_site_fract_z
_atom_site_occupancy
Cs1 0.0000 0.5000 0.2500 1
Cr1 0.0000 0.0000 0.0000 1
Hg1 0.0000 0.0000 0.5000 1
Cl1 0.0000 0.0000 0.2266 1
Cl2 0.2285 0.2285 0.0000 1
```

## Properties
total DFT energy (no corrections): -71.851 eV/cell

=====

Record 5
Material: Cs2CrHg2Cl4
Method: DFT, PBE
State: optimized geometry

Structure (CIF):
```
data_Cs2CrHg2Cl4
_symmetry_space_group_name_H-M 'I 4/m m m'
_symmetry_Int_Tables_number 139
_symmetry_space_group_name_Hall '-I 4 2'
_cell_length_a 8.0326
_cell_length_b 8.0326
_cell_length_c 9.2761
_cell_angle_alpha 90.00
_cell_angle_beta 90.00
_cell_angle_gamma 90.00
loop_
_atom_site_label
_atom_site_fract_x
_atom_site_fract_y
_atom_site_fract_z
_atom_site_occupancy
Cs1 0.0000 0.5000 0.2500 1
Cr1 0.0000 0.0000 0.0000 1
Hg1 0.0000 0.0000 0.3278 1
Cl1 0.2094 0.2094 0.0000 1
```

## Properties
total DFT energy (no corrections): -60.383 eV/cell

=====

Record 6
Material: CsHoCrCl6
Method: DFT, PBE
State: optimized geometry

Structure (CIF):
```
data_CsHoCrCl6
_symmetry_space_group_name_H-M 'P 1'
_symmetry_Int_Tables_number 1
_cell_length_a 6.6766
_cell_length_b 6.6808
_cell_length_c 7.8517
_cell_angle_alpha 91.70
_cell_angle_beta 91.78
_cell_angle_gamma 116.73
loop_
_symmetry_equiv_pos_as_xyz
'x,y,z'
loop_
_atom_site_label
_atom_site_fract_x
_atom_site_fract_y
_atom_site_fract_z
_atom_site_occupancy
Cs1 0.0000 0.0000 0.0000 1
Ho1 0.6574 0.3420 0.4998 1
Cr1 0.3172 0.6823 0.5001 1
Cl1 0.3488 0.0061 0.6668 1
Cl2 0.3487 0.4093 0.3138 1
Cl3 0.5908 0.6505 0.6860 1
Cl4 0.6102 0.0302 0.2790 1
Cl5 0.9703 0.3887 0.7200 1
Cl6 0.9933 0.6514 0.3332 1
```

## Properties
total DFT energy (no corrections): -42.355 eV/cell

=====

Record 7
Material: Cs2HoCr3Cl12
Method: DFT, PBE
State: optimized geometry

Structure (CIF):
```
data_Cs2HoCr3Cl12
_symmetry_space_group_name_H-M 'R -3 m'
_symmetry_Int_Tables_number 166
_symmetry_space_group_name_Hall '-R 3 2"'
_cell_length_a 9.1176
_cell_length_b 9.1176
_cell_length_c 22.8948
_cell_angle_alpha 90.00
_cell_angle_beta 90.00
_cell_angle_gamma 120.00
loop_
_atom_site_label
_atom_site_fract_x
_atom_site_fract_y
_atom_site_fract_z
_atom_site_occupancy
Cs1 0.0000 0.0000 0.1071 1
Ho1 0.0000 0.0000 0.5000 1
Cr1 0.0000 0.5000 0.0000 1
Cl1 0.0475 0.5237 0.1067 1
Cl2 0.0711 0.5355 0.3485 1
```

## Properties
total DFT energy (no corrections): -253.513 eV/cell

=====

Record 8
Material: Cs2CrICl6
Method: DFT, PBE
State: optimized geometry

Structure (CIF):
```
data_Cs2CrICl6
_symmetry_space_group_name_H-M 'I 4/m m m'
_symmetry_Int_Tables_number 139
_symmetry_space_group_name_Hall '-I 4 2'
_cell_length_a 8.3180
_cell_length_b 8.3180
_cell_length_c 10.1465
_cell_angle_alpha 90.00
_cell_angle_beta 90.00
_cell_angle_gamma 90.00
loop_
_atom_site_label
_atom_site_fract_x
_atom_site_fract_y
_atom_site_fract_z
_atom_site_occupancy
Cs1 0.0000 0.5000 0.2500 1
Cr1 0.0000 0.0000 0.0000 1
I1 0.0000 0.0000 0.5000 1
Cl1 0.0000 0.0000 0.2450 1
Cl2 0.1970 0.1970 0.0000 1
```

## Properties
total DFT energy (no corrections): -72.117 eV/cell

=====

Record 9
Material: CsCrICl2
Method: DFT, PBE
State: optimized geometry

Structure (CIF):
```
data_CsCrICl2
_symmetry_space_group_name_H-M 'P 4/m m m'
_symmetry_Int_Tables_number 123
_symmetry_space_group_name_Hall '-P 4 2'
_cell_length_a 5.1711
_cell_length_b 5.1711
_cell_length_c 5.7102
_cell_angle_alpha 90.00
_cell_angle_beta 90.00
_cell_angle_gamma 90.00
loop_
_atom_site_label
_atom_site_fract_x
_atom_site_fract_y
_atom_site_fract_z
_atom_site_occupancy
Cs1 0.0000 0.0000 0.0000 1
Cr1 0.5000 0.5000 0.5000 1
I1 0.5000 0.5000 0.0000 1
Cl1 0.0000 0.5000 0.5000 1
```

## Properties
total DFT energy (no corrections): -21.427 eV/cell

=====

Record 10
Material: Cs3Cr2InCl9
Method: DFT, PBE
State: optimized geometry

Structure (CIF):
```
data_Cs3Cr2InCl9
_symmetry_space_group_name_H-M 'P -3 m 1'
_symmetry_Int_Tables_number 164
_symmetry_space_group_name_Hall '-P 3 2"'
_cell_length_a 7.3985
_cell_length_b 7.3985
_cell_length_c 9.2450
_cell_angle_alpha 90.00
_cell_angle_beta 90.00
_cell_angle_gamma 120.00
loop_
_atom_site_label
_atom_site_fract_x
_atom_site_fract_y
_atom_site_fract_z
_atom_site_occupancy
Cs1 0.0000 0.0000 0.0000 1
Cs2 0.3333 0.6667 0.6667 1
Cr1 0.3333 0.6667 0.1530 1
In1 0.0000 0.0000 0.5000 1
Cl1 0.0000 0.5000 0.0000 1
Cl2 0.1810 0.3620 0.3032 1
```

## Properties
total DFT energy (no corrections): -62.460 eV/cell

=====

Record 11
Material: CsCrIn2Cl8
Method: DFT, PBE
State: optimized geometry

Structure (CIF):
```
data_CsCrIn2Cl8
_symmetry_space_group_name_H-M 'R -3'
_symmetry_Int_Tables_number 148
_symmetry_space_group_name_Hall '-R 3'
_cell_length_a 6.7623
_cell_length_b 6.7623
_cell_length_c 27.7135
_cell_angle_alpha 90.00
_cell_angle_beta 90.00
_cell_angle_gamma 120.00
loop_
_atom_site_label
_atom_site_fract_x
_atom_site_fract_y
_atom_site_fract_z
_atom_site_occupancy
Cs1 0.0000 0.0000 0.0000 1
Cr1 0.0000 0.0000 0.5000 1
In1 0.0000 0.0000 0.2155 1
Cl1 0.0000 0.0000 0.3053 1
Cl2 0.0211 0.6026 0.2144 1
```

## Properties
total DFT energy (no corrections): -132.145 eV/cell

=====

Record 12
Material: Cs4Cr3InCl12
Method: DFT, PBE
State: optimized geometry

Structure (CIF):
```
data_Cs4Cr3InCl12
_symmetry_space_group_name_H-M 'I m -3 m'
_symmetry_Int_Tables_number 229
_symmetry_space_group_name_Hall '-I 4 2 3'
_cell_length_a 10.4642
_cell_length_b 10.4642
_cell_length_c 10.4642
_cell_angle_alpha 90.00
_cell_angle_beta 90.00
_cell_angle_gamma 90.00
loop_
_atom_site_label
_atom_site_fract_x
_atom_site_fract_y
_atom_site_fract_z
_atom_site_occupancy
Cs1 0.2500 0.2500 0.2500 1
Cr1 0.0000 0.0000 0.5000 1
In1 0.0000 0.0000 0.0000 1
Cl1 0.0000 0.0000 0.2771 1
Cl2 0.0000 0.2500 0.5000 1
```

## Properties
total DFT energy (no corrections): -171.073 eV/cell

=====

Record 13
Material: Cs2CrInCl6
Method: DFT, PBE
State: optimized geometry

Structure (CIF):
```
data_Cs2CrInCl6
_symmetry_space_group_name_H-M 'F m -3 m'
_symmetry_Int_Tables_number 225
_symmetry_space_group_name_Hall '-F 4 2 3'
_cell_length_a 10.7538
_cell_length_b 10.7538
_cell_length_c 10.7538
_cell_angle_alpha 90.00
_cell_angle_beta 90.00
_cell_angle_gamma 90.00
loop_
_atom_site_label
_atom_site_fract_x
_atom_site_fract_y
_atom_site_fract_z
_atom_site_occupancy
Cs1 0.2500 0.2500 0.2500 1
Cr1 0.0000 0.0000 0.0000 1
In1 0.0000 0.0000 0.5000 1
Cl1 0.0000 0.0000 0.2224 1
```

## Properties
total DFT energy (no corrections): -158.897 eV/cell

=====

Record 14
Material: CsKCrCl6
Method: DFT, PBE
State: optimized geometry

Structure (CIF):
```
data_CsKCrCl6
_symmetry_space_group_name_H-M 'P 3 1 2'
_symmetry_Int_Tables_number 149
_cell_length_a 7.4417
_cell_length_b 7.4417
_cell_length_c 6.9229
_cell_angle_alpha 90.00
_cell_angle_beta 90.00
_cell_angle_gamma 120.00
loop_
_symmetry_equiv_pos_as_xyz
'x,y,z'
'-y,x-y,z'
'-x+y,-x,z'
'-y,-x,-z'
'-x+y,y,-z'
'x,x-y,-z'
loop_
_atom_site_label
_atom_site_fract_x
_atom_site_fract_y
_atom_site_fract_z
_atom_site_occupancy
Cs1 0.0000 0.0000 0.0000 1
K1 0.3333 0.6667 0.5000 1
Cr1 0.6667 0.3333 0.5000 1
Cl1 0.4150 0.0794 0.6943 1
```

## Properties
total DFT energy (no corrections): -34.968 eV/cell

=====

Record 15
Material: CsK2CrCl6
Method: DFT, PBE
State: optimized geometry

Structure (CIF):
```
data_CsK2CrCl6
_symmetry_space_group_name_H-M 'P 1 21/c 1'
_symmetry_Int_Tables_number 14
_cell_length_a 7.4947
_cell_length_b 7.8644
_cell_length_c 12.9660
_cell_angle_alpha 90.00
_cell_angle_beta 123.91
_cell_angle_gamma 90.00
loop_
_symmetry_equiv_pos_as_xyz
'x,y,z'
'-x,-y,-z'
'-x,y+1/2,-z+1/2'
'x,-y+1/2,z+1/2'
loop_
_atom_site_label
_atom_site_fract_x
_atom_site_fract_y
_atom_site_fract_z
_atom_site_occupancy
Cs1 0.0000 0.0000 0.0000 1
K1 0.2816 0.0757 0.7525 1
Cr1 0.5000 0.0000 0.5000 1
Cl1 0.1697 0.0566 0.3061 1
Cl2 0.3134 0.6603 0.0655 1
Cl3 0.4458 0.2484 0.0826 1
```

## Properties
total DFT energy (no corrections): -80.162 eV/cell

=====

Record 16
Material: CsKCr2Cl8
Method: DFT, PBE
State: optimized geometry

Structure (CIF):
```
data_CsKCr2Cl8
_symmetry_space_group_name_H-M 'R -3'
_symmetry_Int_Tables_number 148
_symmetry_space_group_name_Hall '-R 3'
_cell_length_a 6.9778
_cell_length_b 6.9778
_cell_length_c 29.3058
_cell_angle_alpha 90.00
_cell_angle_beta 90.00
_cell_angle_gamma 120.00
loop_
_atom_site_label
_atom_site_fract_x
_atom_site_fract_y
_atom_site_fract_z
_atom_site_occupancy
Cs1 0.0000 0.0000 0.0000 1
K1 0.0000 0.0000 0.5000 1
Cr1 0.0000 0.0000 0.2510 1
Cl1 0.0000 0.0000 0.3256 1
Cl2 0.0062 0.6259 0.4357 1
```

## Properties
total DFT energy (no corrections): -153.761 eV/cell

=====

Record 17
Material: Cs2LaCrCl6
Method: DFT, PBE
State: optimized geometry

Structure (CIF):
```
data_Cs2LaCrCl6
_symmetry_space_group_name_H-M 'F m -3 m'
_symmetry_Int_Tables_number 225
_symmetry_space_group_name_Hall '-F 4 2 3'
_cell_length_a 10.9241
_cell_length_b 10.9241
_cell_length_c 10.9241
_cell_angle_alpha 90.00
_cell_angle_beta 90.00
_cell_angle_gamma 90.00
loop_
_atom_site_label
_atom_site_fract_x
_atom_site_fract_y
_atom_site_fract_z
_atom_site_occupancy
Cs1 0.2500 0.2500 0.2500 1
La1 0.0000 0.0000 0.0000 1
Cr1 0.0000 0.0000 0.5000 1
Cl1 0.0000 0.0000 0.2560 1
```

## Properties
total DFT energy (no corrections): -181.201 eV/cell

=====

Record 18
Material: Cs2LiCrCl6
Method: DFT, PBE
State: optimized geometry

Structure (CIF):
```
data_Cs2LiCrCl6
_symmetry_space_group_name_H-M 'P -3 m 1'
_symmetry_Int_Tables_number 164
_symmetry_space_group_name_Hall '-P 3 2"'
_cell_length_a 7.3649
_cell_length_b 7.3649
_cell_length_c 6.1469
_cell_angle_alpha 90.00
_cell_angle_beta 90.00
_cell_angle_gamma 120.00
loop_
_atom_site_label
_atom_site_fract_x
_atom_site_fract_y
_atom_site_fract_z
_atom_site_occupancy
Cs1 0.3333 0.6667 0.2601 1
Li1 0.0000 0.0000 0.0000 1
Cr1 0.0000 0.0000 0.5000 1
Cl1 0.1504 0.3007 0.7278 1
```

## Properties
relative energy among the computed polymorphs: 0.000 eV per atom
total DFT energy (no corrections): -41.060 eV/cell

=====

Record 19
Material: CsLi2CrCl8
Method: DFT, PBE
State: optimized geometry

Structure (CIF):
```
data_CsLi2CrCl8
_symmetry_space_group_name_H-M 'P -1'
_symmetry_Int_Tables_number 2
_cell_length_a 6.0886
_cell_length_b 6.5365
_cell_length_c 8.2681
_cell_angle_alpha 85.55
_cell_angle_beta 82.86
_cell_angle_gamma 88.87
loop_
_symmetry_equiv_pos_as_xyz
'x,y,z'
'-x,-y,-z'
loop_
_atom_site_label
_atom_site_fract_x
_atom_site_fract_y
_atom_site_fract_z
_atom_site_occupancy
Cs1 0.0000 0.0000 0.0000 1
Li1 0.4785 0.5449 0.2370 1
Cr1 0.5000 0.0000 0.5000 1
Cl1 0.1794 0.8518 0.5973 1
Cl2 0.2539 0.5007 0.0019 1
Cl3 0.3176 0.3134 0.4631 1
Cl4 0.4510 0.9168 0.2357 1
```

## Properties
total DFT energy (no corrections): -44.021 eV/cell

=====

Record 20
Material: CsLi2CrCl6
Method: DFT, PBE
State: optimized geometry

Structure (CIF):
```
data_CsLi2CrCl6
_symmetry_space_group_name_H-M 'C 1 2/c 1'
_symmetry_Int_Tables_number 15
_cell_length_a 12.2650
_cell_length_b 14.1643
_cell_length_c 8.0876
_cell_angle_alpha 90.00
_cell_angle_beta 110.27
_cell_angle_gamma 90.00
loop_
_symmetry_equiv_pos_as_xyz
'x,y,z'
'-x,-y,-z'
'-x,y,-z+1/2'
'x,-y,z+1/2'
'x+1/2,y+1/2,z'
'-x+1/2,-y+1/2,-z'
'-x+1/2,y+1/2,-z+1/2'
'x+1/2,-y+1/2,z+1/2'
loop_
_atom_site_label
_atom_site_fract_x
_atom_site_fract_y
_atom_site_fract_z
_atom_site_occupancy
Cs1 0.0000 0.1026 0.2500 1
Li1 0.0795 0.4403 0.1398 1
Cr1 0.0000 0.2230 0.7500 1
Cl1 0.1002 0.2725 0.0253 1
Cl2 0.1257 0.1256 0.7019 1
Cl3 0.1282 0.4519 0.4515 1
```

## Properties
total DFT energy (no corrections): -159.799 eV/cell

=====

Record 21
Material: Cs2LiCrCl6
Method: DFT, PBE
State: optimized geometry

Structure (CIF):
```
data_Cs2LiCrCl6
_symmetry_space_group_name_H-M 'F m -3 m'
_symmetry_Int_Tables_number 225
_symmetry_space_group_name_Hall '-F 4 2 3'
_cell_length_a 10.2216
_cell_length_b 10.2216
_cell_length_c 10.2216
_cell_angle_alpha 90.00
_cell_angle_beta 90.00
_cell_angle_gamma 90.00
loop_
_atom_site_label
_atom_site_fract_x
_atom_site_fract_y
_atom_site_fract_z
_atom_site_occupancy
Cs1 0.2500 0.2500 0.2500 1
Li1 0.0000 0.0000 0.0000 1
Cr1 0.0000 0.0000 0.5000 1
Cl1 0.0000 0.0000 0.2663 1
```

## Properties
relative energy among the computed polymorphs: 0.052 eV per atom
total DFT energy (no corrections): -162.155 eV/cell